## NbWSe2 (PBE)

Data for NbWSe2 after structural relaxation.

Cell lengths 8.915, 8.915, 8.915 Å; angles 20.32, 20.32, 20.32 degrees
Element x y z (fractional)
Nb1 0.500 0.500 0.500
W1 0.000 0.000 0.000
Se1 0.095 0.095 0.095
Se2 0.905 0.905 0.905

Computed properties:
VASP energy   -7.446 eV/atom
ΔE to the lowest computed polymorph   0.000 eV/atom

## NbWSe2 (PBE)

Data for NbWSe2 after structural relaxation.

Cell lengths 4.516, 4.516, 4.516 Å; angles 60.00, 60.00, 60.00 degrees
Element x y z (fractional)
W1 0.500 0.500 0.500
Se1 0.750 0.750 0.750
Se2 0.250 0.250 0.250
Nb1 0.000 0.000 0.000

Computed properties:
VASP energy   -7.410 eV/atom
ΔE to the lowest computed polymorph   0.035 eV/atom

## NbW3Se8 (PBE)

Data for NbW3Se8 after structural relaxation.

Cell lengths 7.052, 7.052, 11.973 Å; angles 90.00, 90.00, 120.00 degrees
Element x y z (fractional)
Nb1 0.333 0.667 0.454
Se1 0.666 0.833 0.604
W1 0.196 0.804 0.219
Se2 0.000 0.000 0.320
Se3 0.513 0.487 0.349
W2 0.196 0.392 0.219
Se4 0.487 0.513 0.849
Se5 0.833 0.167 0.104
Se6 0.334 0.167 0.104
Se7 0.487 0.973 0.849
Se8 0.000 0.000 0.820
Se9 0.833 0.666 0.104
Se10 0.513 0.027 0.349
W3 0.804 0.608 0.719
W4 0.608 0.804 0.219
Se11 0.027 0.513 0.849
W5 0.392 0.196 0.719
Nb2 0.667 0.333 0.954
Se12 0.167 0.833 0.604
Se13 0.333 0.667 0.066
Se14 0.167 0.334 0.604
W6 0.804 0.196 0.719
Se15 0.973 0.487 0.349
Se16 0.667 0.333 0.566

Computed properties:
VASP energy   -6.856 eV/atom

## NbW3Se (PBE)

Data for NbW3Se after structural relaxation.

Cell lengths 4.813, 4.813, 4.813 Å; angles 90.00, 90.00, 90.00 degrees
Element x y z (fractional)
W1 0.000 0.000 0.500
W2 0.500 0.000 0.000
Nb1 0.000 0.000 0.000
Se1 0.500 0.500 0.500
W3 0.000 0.500 0.000

Computed properties:
VASP energy   -8.062 eV/atom
ΔE to the lowest computed polymorph   0.961 eV/atom

## NbWSe3 (PBE)

Data for NbWSe3 after structural relaxation.

Cell lengths 6.858, 6.880, 9.702 Å; angles 90.00, 90.00, 90.00 degrees
Element x y z (fractional)
Se1 0.634 0.870 0.250
Se2 0.341 0.342 0.064
Se3 0.366 0.130 0.750
Se4 0.841 0.158 0.936
Se5 0.659 0.658 0.936
W1 0.034 0.280 0.750
Se6 0.159 0.842 0.064
Nb1 0.000 0.500 0.500
Se7 0.841 0.158 0.564
Se8 0.866 0.370 0.250
Se9 0.341 0.342 0.436
Se10 0.659 0.658 0.564
Nb2 0.000 0.500 0.000
W2 0.966 0.720 0.250
W3 0.466 0.780 0.750
Se11 0.134 0.630 0.750
Nb3 0.500 0.000 0.500
Nb4 0.500 0.000 0.000
Se12 0.159 0.842 0.436
W4 0.534 0.220 0.250

Computed properties:
VASP energy   -6.868 eV/atom
ΔE to the lowest computed polymorph   0.000 eV/atom

## NbWSe (PBE)

Data for NbWSe after structural relaxation.

Cell lengths 3.272, 3.272, 11.364 Å; angles 90.00, 90.00, 120.00 degrees
Element x y z (fractional)
Nb1 0.611 0.222 0.326
Se1 0.278 0.556 0.843
W1 0.278 0.555 0.500
Se2 0.278 0.556 0.157
W2 0.611 0.222 0.000
Nb2 0.611 0.222 0.674

Computed properties:
VASP energy   -8.715 eV/atom

no.,spin magnetization (μB/f.u.),theoretical density (g cm⁻³),N(E_F) (states/eV per cell)
1,0.000,9.66,2.257
2,0.000,11.08,4.706
3,0.000,8.22,6.334
4,0.000,10.78,7.420
5,0.000,7.45,18.708
6,0.000,11.21,3.620